LaTmFe2Ge2C after structural relaxation, computed with PBE.

Output
electronic total energy	-6.908	eV/atom
calculated density	8.1	g cm⁻³

Cell lengths 10.873, 4.040, 6.990 Å; angles 90.00, 129.23, 90.00 degrees
Space group Cm (No. 8)
Inequivalent atoms, fractional coordinates:
La1 0.000 0.000 0.000
Tm1 0.387 0.500 0.422
Fe1 0.132 0.500 0.787
Fe2 0.245 0.000 0.614
Ge1 0.108 0.500 0.427
Ge2 0.274 0.000 0.986
C1 0.434 0.000 0.686

---

LaZrFe2Ge2C after structural relaxation, computed with PBE.

Output
electronic total energy	-7.414	eV/atom
calculated density	7.3	g cm⁻³

Cell lengths 10.733, 3.935, 6.898 Å; angles 90.00, 128.51, 90.00 degrees
Space group Cm (No. 8)
Inequivalent atoms, fractional coordinates:
La1 0.000 0.000 0.000
Zr1 0.113 0.000 0.573
Fe1 0.255 0.500 0.378
Fe2 0.367 0.000 0.214
Ge1 0.221 0.500 0.994
Ge2 0.395 0.000 0.580
C1 0.068 0.500 0.324

---

PrLuFe2Ge2C after structural relaxation, computed with PBE.

Output
electronic total energy	-6.887	eV/atom
calculated density	8.4	g cm⁻³

Cell lengths 10.779, 4.005, 6.908 Å; angles 90.00, 128.96, 90.00 degrees
Space group Cm (No. 8)
Inequivalent atoms, fractional coordinates:
Pr1 0.000 0.000 0.000
Lu1 0.115 0.000 0.579
Fe1 0.258 0.500 0.389
Fe2 0.368 0.000 0.213
Ge1 0.225 0.500 0.009
Ge2 0.395 0.000 0.579
C1 0.067 0.500 0.313

---

TbLuFe2Ge2C after structural relaxation, computed with PBE.

Output
electronic total energy	-6.920	eV/atom
calculated density	9.0	g cm⁻³

Cell lengths 10.633, 3.944, 6.761 Å; angles 90.00, 128.60, 90.00 degrees
Space group Cm (No. 8)
Inequivalent atoms, fractional coordinates:
Tb1 0.000 0.000 0.000
Lu1 0.115 0.000 0.576
Fe1 0.256 0.500 0.382
Fe2 0.363 0.000 0.202
Ge1 0.220 0.500 0.997
Ge2 0.396 0.000 0.583
C1 0.061 0.500 0.297

---

Nb4FeGeC2 after structural relaxation, computed with PBE.

Output
electronic total energy	-9.288	eV/atom
calculated density	7.7	g cm⁻³

Cell lengths 3.1566, 3.1566, 13.0367 Å; angles 90.00, 90.00, 120.00 degrees
Space group P-6m2 (No. 187)
Inequivalent atoms, fractional coordinates:
Nb1 0.0000 0.0000 0.1505
Nb2 0.3333 0.6667 0.3413
Fe1 0.3333 0.6667 0.0000
Ge1 0.0000 0.0000 0.5000
C1 0.6667 0.3333 0.2454

---

NdScFe2Ge2C after structural relaxation, computed with PBE.

Output
electronic total energy	-7.123	eV/atom
calculated density	6.8	g cm⁻³

Cell lengths 10.653, 3.959, 6.806 Å; angles 90.00, 128.78, 90.00 degrees
Space group Cm (No. 8)
Inequivalent atoms, fractional coordinates:
Nd1 0.000 0.000 0.000
Sc1 0.386 0.500 0.427
Fe1 0.133 0.500 0.790
Fe2 0.241 0.000 0.612
Ge1 0.102 0.500 0.418
Ge2 0.278 0.000 0.000
C1 0.432 0.000 0.684

---

Nd2Fe2SiGeC after structural relaxation, computed with PBE.

Output
electronic total energy	-7.067	eV/atom
calculated density	7.1	g cm⁻³

Cell lengths 10.864, 4.030, 7.011 Å; angles 90.00, 128.80, 90.00 degrees
Space group Cm (No. 8)
Inequivalent atoms, fractional coordinates:
Nd1 0.000 0.000 0.000
Nd2 0.117 0.000 0.592
Fe1 0.250 0.500 0.376
Fe2 0.361 0.000 0.203
Si1 0.235 0.500 0.034
Ge1 0.389 0.000 0.570
C1 0.056 0.500 0.292

---

NdYFe2Ge2C after structural relaxation, computed with PBE.

Output
electronic total energy	-7.196	eV/atom
calculated density	7.1	g cm⁻³

Cell lengths 10.804, 4.021, 6.940 Å; angles 90.00, 128.78, 90.00 degrees
Space group Cm (No. 8)
Inequivalent atoms, fractional coordinates:
Nd1 0.000 0.000 0.000
Y1 0.385 0.500 0.418
Fe1 0.135 0.500 0.791
Fe2 0.245 0.000 0.616
Ge1 0.109 0.500 0.426
Ge2 0.274 0.000 0.988
C1 0.438 0.000 0.697

---

PrScFe2Ge2C after structural relaxation, computed with PBE.

Output
electronic total energy	-7.109	eV/atom
calculated density	6.7	g cm⁻³

Cell lengths 10.704, 3.978, 6.854 Å; angles 90.00, 128.94, 90.00 degrees
Space group Cm (No. 8)
Inequivalent atoms, fractional coordinates:
Pr1 0.000 0.000 0.000
Sc1 0.386 0.500 0.426
Fe1 0.131 0.500 0.787
Fe2 0.240 0.000 0.611
Ge1 0.102 0.500 0.419
Ge2 0.276 0.000 0.996
C1 0.431 0.000 0.682

---

TbPrFe2Ge2C after structural relaxation, computed with PBE.

Output
electronic total energy	-6.921	eV/atom
calculated density	8.0	g cm⁻³

Cell lengths 10.853, 4.033, 6.982 Å; angles 90.00, 129.03, 90.00 degrees
Space group Cm (No. 8)
Inequivalent atoms, fractional coordinates:
Tb1 0.000 0.000 0.000
Pr1 0.116 0.000 0.583
Fe1 0.248 0.500 0.371
Fe2 0.360 0.000 0.198
Ge1 0.223 0.500 0.009
Ge2 0.389 0.000 0.568
C1 0.052 0.500 0.277

---

PrTmFe2Ge2C after structural relaxation, computed with PBE.

Output
electronic total energy	-6.890	eV/atom
calculated density	8.2	g cm⁻³

Cell lengths 10.804, 4.017, 6.936 Å; angles 90.00, 128.94, 90.00 degrees
Space group Cm (No. 8)
Inequivalent atoms, fractional coordinates:
Pr1 0.000 0.000 0.000
Tm1 0.386 0.500 0.420
Fe1 0.132 0.500 0.788
Fe2 0.243 0.000 0.613
Ge1 0.106 0.500 0.423
Ge2 0.274 0.000 0.989
C1 0.435 0.000 0.689

---

PrYFe2Ge2C after structural relaxation, computed with PBE.

Output
electronic total energy	-7.184	eV/atom
calculated density	7.0	g cm⁻³

Cell lengths 10.845, 4.029, 6.967 Å; angles 90.00, 128.93, 90.00 degrees
Space group Cm (No. 8)
Inequivalent atoms, fractional coordinates:
Pr1 0.000 0.000 0.000
Y1 0.384 0.500 0.417
Fe1 0.132 0.500 0.788
Fe2 0.245 0.000 0.614
Ge1 0.108 0.500 0.425
Ge2 0.273 0.000 0.985
C1 0.436 0.000 0.693

---

PrZrFe2Ge2C after structural relaxation, computed with PBE.

Output
electronic total energy	-7.405	eV/atom
calculated density	7.4	g cm⁻³

Cell lengths 10.653, 3.919, 6.836 Å; angles 90.00, 128.25, 90.00 degrees
Space group Cm (No. 8)
Inequivalent atoms, fractional coordinates:
Pr1 0.000 0.000 0.000
Zr1 0.116 0.000 0.577
Fe1 0.259 0.500 0.384
Fe2 0.368 0.000 0.215
Ge1 0.222 0.500 0.996
Ge2 0.398 0.000 0.586
C1 0.069 0.500 0.322

---

YScFe2Ge2C after structural relaxation, computed with PBE.

Output
electronic total energy	-7.415	eV/atom
calculated density	6.2	g cm⁻³

Cell lengths 10.510, 3.901, 6.669 Å; angles 90.00, 128.12, 90.00 degrees
Space group Cm (No. 8)
Inequivalent atoms, fractional coordinates:
Y1 0.000 0.000 0.000
Sc1 0.386 0.500 0.429
Fe1 0.137 0.500 0.800
Fe2 0.243 0.000 0.618
Ge1 0.102 0.500 0.415
Ge2 0.282 0.000 0.012
C1 0.437 0.000 0.698

---

ZrScFe2Ge2C after structural relaxation, computed with PBE.

Output
electronic total energy	-7.688	eV/atom
calculated density	6.6	g cm⁻³

Cell lengths 10.301, 3.780, 6.495 Å; angles 90.00, 126.73, 90.00 degrees
Space group Cm (No. 8)
Inequivalent atoms, fractional coordinates:
Zr1 0.000 0.000 0.000
Sc1 0.387 0.500 0.433
Fe1 0.141 0.500 0.804
Fe2 0.244 0.000 0.626
Ge1 0.100 0.500 0.403
Ge2 0.287 0.000 0.029
C1 0.443 0.000 0.717

---

Tb2Fe2SiGeC after structural relaxation, computed with PBE.

Output
electronic total energy	-7.097	eV/atom
calculated density	8.1	g cm⁻³

Cell lengths 10.644, 3.958, 6.805 Å; angles 90.00, 129.08, 90.00 degrees
Space group Cm (No. 8)
Inequivalent atoms, fractional coordinates:
Tb1 0.000 0.000 0.000
Tb2 0.117 0.000 0.584
Fe1 0.254 0.500 0.377
Fe2 0.357 0.000 0.192
Si1 0.225 0.500 0.012
Ge1 0.399 0.000 0.581
C1 0.057 0.500 0.289

---

Zr2Fe2SiGeC after structural relaxation, computed with PBE.

Output
electronic total energy	-8.192	eV/atom
calculated density	6.8	g cm⁻³

Cell lengths 10.209, 3.747, 6.495 Å; angles 90.00, 127.42, 90.00 degrees
Space group Cm (No. 8)
Inequivalent atoms, fractional coordinates:
Zr1 0.000 0.000 0.000
Zr2 0.123 0.000 0.583
Fe1 0.260 0.500 0.372
Fe2 0.355 0.000 0.189
Si1 0.219 0.500 0.983
Ge1 0.410 0.000 0.604
C1 0.059 0.500 0.287

---

TbZrFe2Ge2C after structural relaxation, computed with PBE.

Output
electronic total energy	-7.454	eV/atom
calculated density	8.1	g cm⁻³

Cell lengths 10.486, 3.859, 6.686 Å; angles 90.00, 127.68, 90.00 degrees
Space group Cm (No. 8)
Inequivalent atoms, fractional coordinates:
Tb1 0.000 0.000 0.000
Zr1 0.116 0.000 0.575
Fe1 0.257 0.500 0.379
Fe2 0.363 0.000 0.205
Ge1 0.218 0.500 0.985
Ge2 0.399 0.000 0.590
C1 0.063 0.500 0.305

---

YTmFe2Ge2C after structural relaxation, computed with PBE.

Output
electronic total energy	-7.185	eV/atom
calculated density	7.8	g cm⁻³

Cell lengths 10.663, 3.957, 6.792 Å; angles 90.00, 128.62, 90.00 degrees
Space group Cm (No. 8)
Inequivalent atoms, fractional coordinates:
Y1 0.000 0.000 0.000
Tm1 0.385 0.500 0.423
Fe1 0.137 0.500 0.798
Fe2 0.245 0.000 0.619
Ge1 0.104 0.500 0.418
Ge2 0.279 0.000 0.002
C1 0.440 0.000 0.705

---

FeGeW4C2 after structural relaxation, computed with PBE.

Output
electronic total energy	-10.177	eV/atom
calculated density	14.2	g cm⁻³

Cell lengths 3.0674, 3.0674, 12.7504 Å; angles 90.00, 90.00, 120.00 degrees
Space group P-6m2 (No. 187)
Inequivalent atoms, fractional coordinates:
Fe1 0.0000 0.0000 0.0000
Ge1 0.6667 0.3333 0.5000
W1 0.0000 0.0000 0.3375
W2 0.6667 0.3333 0.1512
C1 0.3333 0.6667 0.2456

---

Y4FeGeC2 after structural relaxation, computed with PBE.

Output
electronic total energy	-7.315	eV/atom
calculated density	5.2	g cm⁻³

Cell lengths 3.5808, 3.5808, 14.6412 Å; angles 90.00, 90.00, 120.00 degrees
Space group P-6m2 (No. 187)
Inequivalent atoms, fractional coordinates:
Y1 0.0000 0.0000 0.1518
Y2 0.3333 0.6667 0.3388
Fe1 0.3333 0.6667 0.0000
Ge1 0.0000 0.0000 0.5000
C1 0.6667 0.3333 0.2448

---

Zr4FeGeC2 after structural relaxation, computed with PBE.

Output
electronic total energy	-8.729	eV/atom
calculated density	6.7	g cm⁻³

Cell lengths 3.3104, 3.3104, 13.6064 Å; angles 90.00, 90.00, 120.00 degrees
Space group P-6m2 (No. 187)
Inequivalent atoms, fractional coordinates:
Zr1 0.0000 0.0000 0.1447
Zr2 0.6667 0.3333 0.3379
Fe1 0.6667 0.3333 0.0000
Ge1 0.0000 0.0000 0.5000
C1 0.3333 0.6667 0.2459